Entry 1:
# Na2YRh

A geometry-optimized Na2YRh structure (PBE-GGA, the Alexandria database).

Cell and atoms, written as POSCAR:
```
Na2YRh
1.0
0.000 3.527 3.527
3.527 0.000 3.527
3.527 3.527 0.000
Y Na Rh
1 2 1
Direct
0.000 0.000 0.000 Y
0.250 0.250 0.250 Na
0.750 0.750 0.750 Na
0.500 0.500 0.500 Rh
```

The calculation puts the distance to the lowest polymorph of the same formula at 0.3424 eV/atom. The crystal system is cubic. The calculation puts the total energy at -3.744 eV per atom.

---

Entry 2:
# NaY3Rh

A geometry-optimized NaY3Rh structure (PBE-GGA, the Alexandria database).

Cell and atoms, written as POSCAR:
```
NaY3Rh
1.0
-2.883 -1.782 -4.087
-2.971 -2.861 3.343
-3.325 4.102 0.556
Y Na Rh
3 1 1
Direct
0.000 0.500 0.000 Y
0.000 0.000 0.500 Y
0.500 0.000 0.000 Y
0.000 0.000 0.000 Na
0.500 0.500 0.500 Rh
```

The calculation puts the distance to the lowest polymorph of the same formula at 1.3805 eV/atom. The crystal system is cubic. The calculation puts the total energy at -4.447 eV per atom.

---

Entry 3:
# NaY3Rh

A geometry-optimized NaY3Rh structure (PBE-GGA, the Alexandria database).

Cell and atoms, written as POSCAR:
```
NaY3Rh
1.0
5.460 0.000 0.000
0.000 5.460 0.000
0.000 0.000 5.460
Y Na Rh
3 1 1
Direct
0.000 0.500 0.000 Y
0.000 0.000 0.500 Y
0.500 0.000 0.000 Y
0.500 0.500 0.500 Na
0.000 0.000 0.000 Rh
```

The calculation puts the distance to the lowest polymorph of the same formula at 0.0000 eV/atom. The crystal system is cubic. The calculation puts the total energy at -5.827 eV per atom.

---

Entry 4:
# NaZn2Rh

A geometry-optimized NaZn2Rh structure (PBE-GGA, the Alexandria database).

Cell and atoms, written as POSCAR:
```
NaZn2Rh
1.0
-4.045 -1.932 -0.419
1.906 -4.064 0.341
-2.069 -2.753 8.484
Na Zn Rh
2 4 2
Direct
0.500 0.500 0.000 Na
0.250 0.750 0.500 Na
0.756 0.125 0.250 Zn
0.994 0.625 0.250 Zn
0.375 0.244 0.750 Zn
0.875 0.006 0.750 Zn
0.000 0.000 0.000 Rh
0.750 0.250 0.500 Rh
```

The crystal system is tetragonal. The calculation puts the total energy at -2.581 eV per atom.

---

Entry 5:
# Na3ZnRh

A geometry-optimized Na3ZnRh structure (PBE-GGA, the Alexandria database).

Cell and atoms, written as POSCAR:
```
Na3ZnRh
1.0
-5.324 -0.494 -0.810
0.942 -2.206 -4.847
0.112 -4.913 2.257
Na Zn Rh
3 1 1
Direct
0.000 0.500 0.000 Na
0.000 0.000 0.500 Na
0.500 0.000 0.000 Na
0.500 0.500 0.500 Zn
0.000 0.000 0.000 Rh
```

The calculation puts the distance to the lowest polymorph of the same formula at 0.0000 eV/atom. The crystal system is cubic. The calculation puts the total energy at -1.940 eV per atom.

---

Entry 6:
# NaZn2Rh

A geometry-optimized NaZn2Rh structure (PBE-GGA, the Alexandria database).

Cell and atoms, written as POSCAR:
```
NaZn2Rh
1.0
-2.769 1.248 -0.301
-1.871 -4.090 0.249
-0.301 0.411 4.475
Na Zn Rh
1 2 1
Direct
0.500 0.500 0.500 Na
0.000 0.000 0.500 Zn
0.000 0.500 0.000 Zn
0.500 0.000 0.000 Rh
```

The crystal system is tetragonal. The calculation puts the total energy at -2.891 eV per atom.

---

Entry 7:
# NaZnRh3

A geometry-optimized NaZnRh3 structure (PBE-GGA, the Alexandria database).

Cell and atoms, written as POSCAR:
```
NaZnRh3
1.0
-4.284 -1.050 -0.818
1.017 -0.803 -4.295
0.859 -4.287 1.005
Na Zn Rh
1 1 3
Direct
0.000 0.000 0.000 Na
0.500 0.500 0.500 Zn
0.000 0.500 0.000 Rh
0.000 0.000 0.500 Rh
0.500 0.000 0.000 Rh
```

The calculation puts the distance to the lowest polymorph of the same formula at 0.6939 eV/atom. The crystal system is cubic. The calculation puts the total energy at -3.361 eV per atom.

---

Entry 8:
# Na3ZnRh

A geometry-optimized Na3ZnRh structure (PBE-GGA, the Alexandria database).

Cell and atoms, written as POSCAR:
```
Na3ZnRh
1.0
5.221 0.000 0.000
0.000 5.221 0.000
0.000 0.000 5.221
Na Zn Rh
3 1 1
Direct
0.000 0.500 0.000 Na
0.000 0.000 0.500 Na
0.500 0.000 0.000 Na
0.000 0.000 0.000 Zn
0.500 0.500 0.500 Rh
```

The calculation puts the distance to the lowest polymorph of the same formula at 0.2474 eV/atom. The crystal system is cubic. The calculation puts the total energy at -1.693 eV per atom.

---

Entry 9:
# Na2ZnRh2

A geometry-optimized Na2ZnRh2 structure (PBE-GGA, the Alexandria database).

Cell and atoms, written as POSCAR:
```
Na2ZnRh2
1.0
-2.977 5.572 0.523
-4.576 -2.082 -3.861
-2.455 -1.669 3.809
Na Zn Rh
4 2 4
Direct
0.172 0.672 0.500 Na
0.672 0.828 0.500 Na
0.828 0.328 0.500 Na
0.328 0.172 0.500 Na
0.000 0.000 0.000 Zn
0.500 0.500 0.000 Zn
0.364 0.864 0.000 Rh
0.864 0.636 0.000 Rh
0.636 0.136 0.000 Rh
0.136 0.364 0.000 Rh
```

The crystal system is tetragonal. The calculation puts the total energy at -3.550 eV per atom.

---

Entry 10:
# NaZn4Rh

A geometry-optimized NaZn4Rh structure (PBE-GGA, the Alexandria database).

Cell and atoms, written as POSCAR:
```
NaZn4Rh
1.0
5.081 0.000 0.000
2.541 4.401 0.000
2.541 1.467 4.149
Na Zn Rh
1 4 1
Direct
0.000 0.000 0.000 Na
0.624 0.624 0.127 Zn
0.624 0.127 0.624 Zn
0.624 0.624 0.624 Zn
0.127 0.624 0.624 Zn
0.250 0.250 0.250 Rh
```

The crystal system is cubic. The calculation puts the total energy at -2.356 eV per atom.

---

Entry 11:
# NaZn2Rh

A geometry-optimized NaZn2Rh structure (PBE-GGA, the Alexandria database).

Cell and atoms, written as POSCAR:
```
NaZn2Rh
1.0
-0.096 -3.046 0.129
2.923 -0.129 -0.860
2.119 0.237 7.169
Na Zn Rh
1 2 1
Direct
0.500 0.500 0.500 Na
0.000 0.000 0.805 Zn
0.000 0.000 0.195 Zn
0.500 0.500 0.000 Rh
```

The crystal system is tetragonal. The calculation puts the total energy at -2.968 eV per atom.

---

Entry 12:
# NaZnRh3

A geometry-optimized NaZnRh3 structure (PBE-GGA, the Alexandria database).

Cell and atoms, written as POSCAR:
```
NaZnRh3
1.0
-2.459 1.711 -3.557
-3.885 -0.307 2.538
0.699 4.313 1.592
Na Zn Rh
1 1 3
Direct
0.500 0.500 0.500 Na
0.000 0.000 0.000 Zn
0.000 0.500 0.000 Rh
0.000 0.000 0.500 Rh
0.500 0.000 0.000 Rh
```

The calculation puts the distance to the lowest polymorph of the same formula at 0.0000 eV/atom. The crystal system is cubic. The calculation puts the total energy at -4.055 eV per atom.

---

Entry 13:
# NaZrZnRh2

A geometry-optimized NaZrZnRh2 structure (PBE-GGA, the Alexandria database).

Cell and atoms, written as POSCAR:
```
NaZrZnRh2
1.0
-1.646 1.285 -4.042
3.251 -2.629 -2.160
-2.848 -3.547 0.032
Na Zn Rh Zr
1 1 2 1
Direct
0.000 0.000 0.000 Na
0.500 0.500 0.500 Zn
0.000 0.000 0.500 Rh
0.500 0.000 0.000 Rh
0.000 0.500 0.000 Zr
```

The crystal system is tetragonal. The calculation puts the total energy at -3.820 eV per atom.

---

Entry 14:
# NaZr2ZnRh

A geometry-optimized NaZr2ZnRh structure (PBE-GGA, the Alexandria database).

Cell and atoms, written as POSCAR:
```
NaZr2ZnRh
1.0
5.003 0.000 0.000
0.000 4.589 0.000
0.000 0.000 5.003
Na Zn Rh Zr
1 1 1 2
Direct
0.000 0.500 0.000 Na
0.000 0.000 0.000 Zn
0.500 0.500 0.500 Rh
0.000 0.000 0.500 Zr
0.500 0.000 0.000 Zr
```

The crystal system is tetragonal. The calculation puts the total energy at -4.551 eV per atom.

---

Entry 15:
# NaZrRh3

A geometry-optimized NaZrRh3 structure (PBE-GGA, the Alexandria database).

Cell and atoms, written as POSCAR:
```
NaZrRh3
1.0
4.876 0.000 0.000
0.000 4.876 0.000
0.000 0.000 4.876
Na Rh Zr
1 3 1
Direct
0.500 0.500 0.500 Na
0.000 0.500 0.000 Rh
0.000 0.000 0.500 Rh
0.500 0.000 0.000 Rh
0.000 0.000 0.000 Zr
```

The calculation puts the distance to the lowest polymorph of the same formula at 0.0000 eV/atom. The crystal system is cubic. The calculation puts the total energy at -5.741 eV per atom.

---

Entry 16:
# NaZrRh4

A geometry-optimized NaZrRh4 structure (PBE-GGA, the Alexandria database).

Cell and atoms, written as POSCAR:
```
NaZrRh4
1.0
5.210 0.000 0.000
2.605 4.512 0.000
2.605 1.504 4.254
Na Rh Zr
1 4 1
Direct
0.000 0.000 0.000 Na
0.625 0.625 0.125 Rh
0.625 0.125 0.625 Rh
0.625 0.625 0.625 Rh
0.125 0.625 0.625 Rh
0.250 0.250 0.250 Zr
```

The crystal system is cubic. The calculation puts the total energy at -6.816 eV per atom.

---

Entry 17:
# NaZrRh2

A geometry-optimized NaZrRh2 structure (PBE-GGA, the Alexandria database).

Cell and atoms, written as POSCAR:
```
NaZrRh2
1.0
-4.916 1.807 -4.904
-5.187 -0.863 4.881
-4.788 3.305 0.769
Na Rh Zr
2 4 2
Direct
0.500 0.500 0.000 Na
0.250 0.750 0.500 Na
0.646 0.125 0.250 Rh
0.104 0.625 0.250 Rh
0.375 0.354 0.750 Rh
0.875 0.896 0.750 Rh
0.000 0.000 0.000 Zr
0.750 0.250 0.500 Zr
```

The crystal system is tetragonal. The calculation puts the total energy at -6.073 eV per atom.

---

Entry 18:
# Na2ZrRh

A geometry-optimized Na2ZrRh structure (PBE-GGA, the Alexandria database).

Cell and atoms, written as POSCAR:
```
Na2ZrRh
1.0
8.817 0.000 0.000
0.000 8.817 0.000
4.409 4.409 2.502
Na Rh Zr
4 2 2
Direct
0.686 0.125 0.250 Na
0.064 0.625 0.250 Na
0.375 0.314 0.750 Na
0.875 0.936 0.750 Na
0.000 0.000 0.000 Rh
0.750 0.250 0.500 Rh
0.500 0.500 0.000 Zr
0.250 0.750 0.500 Zr
```

The calculation puts the distance to the lowest polymorph of the same formula at 0.0000 eV/atom. The crystal system is tetragonal. The calculation puts the total energy at -4.035 eV per atom.

---

Entry 19:
# NaZr3Rh

A geometry-optimized NaZr3Rh structure (PBE-GGA, the Alexandria database).

Cell and atoms, written as POSCAR:
```
NaZr3Rh
1.0
-1.449 0.884 -4.831
4.342 -2.124 -1.691
-2.296 -4.575 -0.149
Na Rh Zr
1 1 3
Direct
0.500 0.500 0.500 Na
0.000 0.000 0.000 Rh
0.000 0.500 0.000 Zr
0.000 0.000 0.500 Zr
0.500 0.000 0.000 Zr
```

The calculation puts the distance to the lowest polymorph of the same formula at 0.0000 eV/atom. The crystal system is cubic. The calculation puts the total energy at -6.524 eV per atom.

---

Entry 20:
# Na2ZrRh

A geometry-optimized Na2ZrRh structure (PBE-GGA, the Alexandria database).

Cell and atoms, written as POSCAR:
```
Na2ZrRh
1.0
0.000 3.405 3.405
3.405 0.000 3.405
3.405 3.405 0.000
Na Rh Zr
2 1 1
Direct
0.250 0.250 0.250 Na
0.750 0.750 0.750 Na
0.500 0.500 0.500 Rh
0.000 0.000 0.000 Zr
```

The calculation puts the distance to the lowest polymorph of the same formula at 0.1593 eV/atom. The crystal system is cubic. The calculation puts the total energy at -3.875 eV per atom.

---

Entry 21:
# NaZr3Rh

A geometry-optimized NaZr3Rh structure (PBE-GGA, the Alexandria database).

Cell and atoms, written as POSCAR:
```
NaZr3Rh
1.0
-3.951 2.830 0.037
-2.505 -3.526 2.216
1.317 1.783 4.325
Na Rh Zr
1 1 3
Direct
0.000 0.000 0.000 Na
0.500 0.500 0.500 Rh
0.000 0.500 0.000 Zr
0.000 0.000 0.500 Zr
0.500 0.000 0.000 Zr
```

The calculation puts the distance to the lowest polymorph of the same formula at 1.2370 eV/atom. The crystal system is cubic. The calculation puts the total energy at -5.287 eV per atom.

---

Entry 22:
# Na3Ru

A geometry-optimized Na3Ru structure (PBE-GGA, the Alexandria database).

Cell and atoms, written as POSCAR:
```
Na3Ru
1.0
9.382 0.000 0.000
0.000 9.382 0.000
0.000 0.000 4.775
Na Ru
12 4
Direct
0.694 0.962 0.500 Na
0.306 0.038 0.500 Na
0.194 0.538 0.000 Na
0.806 0.462 0.000 Na
0.962 0.694 0.500 Na
0.038 0.306 0.500 Na
0.538 0.194 0.000 Na
0.462 0.806 0.000 Na
0.383 0.383 0.500 Na
0.617 0.617 0.500 Na
0.883 0.117 0.000 Na
0.117 0.883 0.000 Na
0.715 0.285 0.500 Ru
0.285 0.715 0.500 Ru
0.215 0.215 0.000 Ru
0.785 0.785 0.000 Ru
```

The crystal system is tetragonal. The calculation puts the total energy at -2.437 eV per atom.

---

Entry 23:
# NaRu3

A geometry-optimized NaRu3 structure (PBE-GGA, the Alexandria database).

Cell and atoms, written as POSCAR:
```
NaRu3
1.0
4.785 -0.006 0.000
1.651 4.491 0.000
-3.218 -2.243 2.741
Na Ru
1 3
Direct
0.000 0.000 0.000 Na
0.750 0.250 0.500 Ru
0.250 0.750 0.500 Ru
0.500 0.500 0.000 Ru
```

The crystal system is tetragonal. The calculation puts the total energy at -6.468 eV per atom.

---

Entry 24:
# Na3Ru

A geometry-optimized Na3Ru structure (PBE-GGA, the Alexandria database).

Cell and atoms, written as POSCAR:
```
Na3Ru
1.0
-1.513 1.043 -4.947
-1.225 -6.283 -0.950
-5.875 -2.385 1.294
Ru Na
2 6
Direct
0.250 0.333 0.333 Ru
0.750 0.667 0.667 Ru
0.750 0.645 0.178 Na
0.750 0.178 0.178 Na
0.750 0.178 0.645 Na
0.250 0.355 0.822 Na
0.250 0.822 0.822 Na
0.250 0.822 0.355 Na
```

The crystal system is hexagonal. The calculation puts the total energy at -2.478 eV per atom.

---

Entry 25:
# Na3Ru

A geometry-optimized Na3Ru structure (PBE-GGA, the Alexandria database).

Cell and atoms, written as POSCAR:
```
Na3Ru
1.0
-2.929 1.434 -4.322
1.873 -3.199 -3.946
-1.759 -1.424 4.918
Na Ru
3 1
Direct
0.750 0.250 0.500 Na
0.250 0.750 0.500 Na
0.500 0.500 0.000 Na
0.000 0.000 0.000 Ru
```

The crystal system is tetragonal. The calculation puts the total energy at -2.471 eV per atom.

---

Entry 26:
# NaRu4

A geometry-optimized NaRu4 structure (PBE-GGA, the Alexandria database).

Cell and atoms, written as POSCAR:
```
NaRu4
1.0
4.336 0.000 0.000
0.000 4.336 0.000
0.000 0.000 4.336
Na Ru
1 4
Direct
0.500 0.500 0.500 Na
0.000 0.000 0.000 Ru
0.500 0.000 0.500 Ru
0.000 0.500 0.500 Ru
0.500 0.500 0.000 Ru
```

The crystal system is cubic. The calculation puts the total energy at -5.203 eV per atom.

---

Entry 27:
# NaRu3S

A geometry-optimized NaRu3S structure (PBE-GGA, the Alexandria database).

Cell and atoms, written as POSCAR:
```
NaRu3S
1.0
4.493 0.000 0.000
0.000 4.493 0.000
0.000 0.000 4.493
Ru S Na
3 1 1
Direct
0.000 0.500 0.000 Ru
0.000 0.000 0.500 Ru
0.500 0.000 0.000 Ru
0.500 0.500 0.500 S
0.000 0.000 0.000 Na
```

The uncorrected formation energy is 2616 meV per atom. The calculation puts the distance to the lowest polymorph of the same formula at 2.1307 eV/atom. The crystal system is cubic. The calculation puts the total energy at -4.039 eV per atom.

---

Entry 28:
# Na3RuS

A geometry-optimized Na3RuS structure (PBE-GGA, the Alexandria database).

Cell and atoms, written as POSCAR:
```
Na3RuS
1.0
5.515 0.000 0.000
0.000 5.515 0.000
0.000 0.000 5.515
Ru S Na
1 1 3
Direct
0.000 0.000 0.000 Ru
0.500 0.500 0.500 S
0.000 0.500 0.000 Na
0.000 0.000 0.500 Na
0.500 0.000 0.000 Na
```

The uncorrected formation energy is 929 meV per atom. The calculation puts the distance to the lowest polymorph of the same formula at 0.5151 eV/atom. The crystal system is cubic. The calculation puts the total energy at -2.543 eV per atom.